Entry from the Alexandria database: K4MnP at its PBEsol-relaxed geometry (meta-GGA SCAN).

Cell lengths 6.6388, 6.6388, 6.6388 Å; angles 60.00, 60.00, 60.00 degrees
Site moments in Bohr magnetons follow the coordinates.
Fractional coordinates of all 6 atoms:
K: 0.3729 0.3729 0.3729  -0.03
K: 0.3729 0.3729 0.8813  -0.03
K: 0.8813 0.3729 0.3729  -0.03
K: 0.3729 0.8813 0.3729  -0.03
Mn: 0.7500 0.7500 0.7500  4.60
P: 0.0000 0.0000 0.0000  -0.02

## Properties
ρ = 1.94 g/cm3
Fermi-level density of states = 0.46 states/eV/atom
ΔH_f (0 K) = 0.63 eV/atom